Computed, not measured: a relaxed La2MnVO6 crystal at the GGA+U level of DFT.

Unit cell a=5.583 b=7.916 c=5.749 alpha=90.34 beta=90.76 gamma=89.87
Last column: magnetic moment on the atom in μB.
Fractional coordinates of all 20 atoms:
Mn1 0.500 0.000 0.000  4.55
Mn2 0.000 0.500 0.500  0.97
O1 0.723 0.044 0.309  -0.01
O2 0.696 0.454 0.289  0.00
O3 0.789 0.457 0.804  0.00
O4 0.907 0.757 0.529  0.00
O5 0.195 0.948 0.215  0.02
O6 0.304 0.546 0.711  0.00
O7 0.277 0.956 0.691  -0.01
O8 0.418 0.266 0.976  -0.01
O9 0.093 0.243 0.471  0.00
O10 0.805 0.052 0.785  0.02
O11 0.211 0.543 0.196  0.00
O12 0.582 0.734 0.024  -0.01
La1 0.514 0.255 0.548  0.01
La2 0.486 0.745 0.452  0.01
La3 0.991 0.255 0.054  0.01
La4 0.009 0.745 0.946  0.01
V1 0.000 0.000 0.500  1.09
V2 0.500 0.500 0.000  1.07

Calculated values
calculated total energy = -161.49 eV for the cell shown